VASP calculation (PBE-GGA) on an optimized crystal structure of HoGa3CoOs.

## Properties
magnetic moment	0.00	μB per formula unit
ΔE_f	-189	meV/atom

abc: 5.548 7.760 6.477
angles: 126.80 90.00 90.00
Fractional positions:
1 Ho 0.250 0.710 0.420
2 Ho 0.750 0.290 0.580
3 Co 0.250 0.968 0.937
4 Co 0.750 0.032 0.063
5 Ga 0.000 0.752 0.000
6 Ga 0.250 0.189 0.377
7 Ga 0.500 0.248 0.000
8 Ga 0.750 0.811 0.623
9 Ga 0.500 0.752 0.000
10 Ga 0.000 0.248 0.000
11 Os 0.750 0.580 0.160
12 Os 0.250 0.420 0.840

---

VASP calculation (PBE-GGA) on an optimized crystal structure of HoGa2Co2P.

## Properties
magnetic moment	0.29	μB per formula unit
ΔE_f	-474	meV/atom

abc: 4.219 4.219 5.393
angles: 90.00 90.00 90.00
Fractional positions:
1 Ga 0.500 0.500 0.265
2 Ga 0.500 0.500 0.735
3 P 0.000 0.000 0.000
4 Co 0.000 0.500 0.000
5 Co 0.500 0.000 0.000
6 Ho 0.000 0.000 0.500

---

VASP calculation (PBE-GGA) on an optimized crystal structure of HoGa3CoPd.

## Properties
magnetic moment	0.00	μB per formula unit
ΔE_f	-306	meV/atom

abc: 5.682 7.837 6.523
angles: 126.93 90.00 90.00
Fractional positions:
1 Ga 0.750 0.785 0.569
2 Ga 0.250 0.215 0.431
3 Ga 0.000 0.241 0.000
4 Ga 0.000 0.759 0.000
5 Ga 0.500 0.241 0.000
6 Ga 0.500 0.759 0.000
7 Pd 0.250 0.447 0.895
8 Pd 0.750 0.553 0.105
9 Co 0.250 0.000 0.000
10 Co 0.750 0.000 0.000
11 Ho 0.250 0.739 0.478
12 Ho 0.750 0.261 0.522

---

VASP calculation (PBE-GGA) on an optimized crystal structure of Ho2Ga6CoPd.

## Properties
magnetic moment	0.00	μB per formula unit
ΔE_f	-267	meV/atom

abc: 6.571 6.571 6.571
angles: 60.00 60.00 90.00
Fractional positions:
1 Ga 0.242 0.242 0.516
2 Ga 0.758 0.758 0.484
3 Ga 0.242 0.242 0.000
4 Ga 0.758 0.758 0.000
5 Ga 0.242 0.758 0.000
6 Ga 0.758 0.242 0.000
7 Ho 0.750 0.250 0.500
8 Ho 0.250 0.750 0.500
9 Co 0.000 0.000 0.000
10 Pd 0.500 0.500 0.000

---

VASP calculation (PBE-GGA) on an optimized crystal structure of PrHoGaCo.

## Properties
magnetic moment	1.08	μB per formula unit
ΔE_f	-238	meV/atom

abc: 5.026 5.026 5.026
angles: 60.00 60.00 60.00
Fractional positions:
1 Ho 0.000 0.000 0.000
2 Co 0.750 0.750 0.750
3 Ga 0.250 0.250 0.250
4 Pr 0.500 0.500 0.500

---

VASP calculation (PBE-GGA) on an optimized crystal structure of HoGa3CoPt.

## Properties
magnetic moment	0.00	μB per formula unit
ΔE_f	-425	meV/atom

abc: 5.301 8.073 6.629
angles: 127.51 90.00 90.00
Fractional positions:
1 Pt 0.250 0.411 0.822
2 Pt 0.750 0.589 0.178
3 Ga 0.250 0.170 0.341
4 Ga 0.500 0.244 0.000
5 Ga 0.000 0.756 0.000
6 Ga 0.000 0.244 0.000
7 Ga 0.750 0.830 0.659
8 Ga 0.500 0.756 0.000
9 Ho 0.750 0.296 0.591
10 Ho 0.250 0.704 0.409
11 Co 0.750 0.052 0.104
12 Co 0.250 0.948 0.896

---

VASP calculation (PBE-GGA) on an optimized crystal structure of HoGa3CoRh.

## Properties
magnetic moment	0.00	μB per formula unit
ΔE_f	-410	meV/atom

abc: 5.401 7.780 6.523
angles: 126.61 90.00 90.00
Fractional positions:
1 Ga 0.500 0.249 0.000
2 Ga 0.000 0.751 0.000
3 Ga 0.250 0.178 0.356
4 Ga 0.000 0.249 0.000
5 Ga 0.750 0.822 0.644
6 Ga 0.500 0.751 0.000
7 Co 0.750 0.044 0.087
8 Co 0.250 0.956 0.913
9 Rh 0.250 0.413 0.826
10 Rh 0.750 0.587 0.174
11 Ho 0.750 0.292 0.584
12 Ho 0.250 0.708 0.416

---

VASP calculation (PBE-GGA) on an optimized crystal structure of HoGaCoRh.

## Properties
magnetic moment	0.00	μB per formula unit
ΔE_f	-524	meV/atom

abc: 4.473 4.473 4.473
angles: 60.00 60.00 60.00
Fractional positions:
1 Co 0.000 0.000 0.000
2 Ho 0.750 0.750 0.750
3 Ga 0.250 0.250 0.250
4 Rh 0.500 0.500 0.500

---

VASP calculation (PBE-GGA) on an optimized crystal structure of Ho2Ga5Co2Ru.

## Properties
magnetic moment	0.00	μB per formula unit
ΔE_f	-379	meV/atom

abc: 3.979 9.049 9.049
angles: 90.00 90.00 90.00
Fractional positions:
1 Ho 0.000 0.320 0.820
2 Ho 0.000 0.680 0.180
3 Ho 0.000 0.820 0.680
4 Ho 0.000 0.180 0.320
5 Ga 0.500 0.703 0.441
6 Ga 0.500 0.559 0.703
7 Ga 0.500 0.500 0.000
8 Ga 0.500 0.297 0.559
9 Ga 0.500 0.000 0.500
10 Ga 0.500 0.059 0.797
11 Ga 0.500 0.941 0.203
12 Ga 0.500 0.203 0.059
13 Ga 0.500 0.797 0.941
14 Ga 0.500 0.441 0.297
15 Ru 0.000 0.500 0.500
16 Ru 0.000 0.000 0.000
17 Co 0.000 0.115 0.615
18 Co 0.000 0.885 0.385
19 Co 0.000 0.385 0.115
20 Co 0.000 0.615 0.885

---

VASP calculation (PBE-GGA) on an optimized crystal structure of HoGa2CoRu.

## Properties
magnetic moment	0.00	μB per formula unit
ΔE_f	-398	meV/atom

abc: 4.235 4.235 5.659
angles: 111.97 111.97 90.00
Fractional positions:
1 Co 0.750 0.250 0.500
2 Ga 0.368 0.368 0.737
3 Ga 0.632 0.632 0.263
4 Ru 0.250 0.750 0.500
5 Ho 0.000 0.000 0.000

---

VASP calculation (PBE-GGA) on an optimized crystal structure of HoGa3CoRu.

## Properties
magnetic moment	0.00	μB per formula unit
ΔE_f	-293	meV/atom

abc: 5.537 7.705 6.470
angles: 126.54 90.00 90.00
Fractional positions:
1 Ru 0.250 0.419 0.837
2 Ru 0.750 0.581 0.163
3 Ho 0.750 0.291 0.582
4 Ho 0.250 0.709 0.418
5 Ga 0.750 0.813 0.626
6 Ga 0.000 0.250 0.000
7 Ga 0.500 0.250 0.000
8 Ga 0.250 0.187 0.374
9 Ga 0.500 0.750 0.000
10 Ga 0.000 0.750 0.000
11 Co 0.250 0.966 0.931
12 Co 0.750 0.034 0.069

---

VASP calculation (PBE-GGA) on an optimized crystal structure of Ho2Ga4Co3Ru.

## Properties
magnetic moment	0.61	μB per formula unit
ΔE_f	-395	meV/atom

abc: 4.036 4.036 10.117
angles: 90.00 90.00 90.00
Fractional positions:
1 Ga 0.500 0.000 0.638
2 Ga 0.000 0.000 0.000
3 Ga 0.000 0.500 0.362
4 Ga 0.500 0.500 0.000
5 Co 0.000 0.500 0.130
6 Co 0.000 0.000 0.500
7 Co 0.500 0.000 0.870
8 Ho 0.500 0.000 0.251
9 Ho 0.000 0.500 0.749
10 Ru 0.500 0.500 0.500

---

VASP calculation (PBE-GGA) on an optimized crystal structure of HoScGaCo.

## Properties
magnetic moment	0.72	μB per formula unit
ΔE_f	-371	meV/atom

abc: 4.749 4.749 4.749
angles: 60.00 60.00 60.00
Fractional positions:
1 Sc 0.500 0.500 0.500
2 Ho 0.000 0.000 0.000
3 Ga 0.250 0.250 0.250
4 Co 0.750 0.750 0.750

---

VASP calculation (PBE-GGA) on an optimized crystal structure of SmHoGaCo.

## Properties
offset from the most stable computed form	0.069	eV per atom
magnetic moment	1.07	μB per formula unit
ΔE_f	-285	meV/atom

abc: 4.968 4.968 4.968
angles: 60.00 60.00 60.00
Fractional positions:
1 Ho 0.000 0.000 0.000
2 Co 0.750 0.750 0.750
3 Ga 0.250 0.250 0.250
4 Sm 0.500 0.500 0.500

---

VASP calculation (PBE-GGA) on an optimized crystal structure of SmHoGaCo.

## Properties
offset from the most stable computed form	0.000	eV per atom
magnetic moment	0.00	μB per formula unit
ΔE_f	-354	meV/atom

abc: 4.052 4.195 5.618
angles: 90.00 111.14 90.00
Fractional positions:
1 Sm 0.145 0.000 0.290
2 Ga 0.562 0.500 0.124
3 Co 0.433 0.000 0.865
4 Ho 0.861 0.500 0.721

---

VASP calculation (PBE-GGA) on an optimized crystal structure of HoGa3CoTc.

## Properties
magnetic moment	0.00	μB per formula unit
ΔE_f	-171	meV/atom

abc: 5.691 7.670 6.451
angles: 126.48 90.00 90.00
Fractional positions:
1 Ga 0.750 0.805 0.610
2 Ga 0.250 0.195 0.390
3 Ga 0.500 0.753 0.000
4 Ga 0.000 0.247 0.000
5 Ga 0.500 0.247 0.000
6 Ga 0.000 0.753 0.000
7 Ho 0.250 0.716 0.433
8 Ho 0.750 0.284 0.567
9 Co 0.250 0.973 0.946
10 Co 0.750 0.027 0.054
11 Tc 0.250 0.426 0.851
12 Tc 0.750 0.574 0.149

---

VASP calculation (PBE-GGA) on an optimized crystal structure of HoZnGa2Co2.

## Properties
magnetic moment	1.34	μB per formula unit
ΔE_f	-45	meV/atom

abc: 4.367 4.367 5.405
angles: 90.00 90.00 90.00
Fractional positions:
1 Ho 0.000 0.000 0.500
2 Co 0.500 0.000 0.000
3 Co 0.000 0.500 0.000
4 Ga 0.500 0.500 0.253
5 Ga 0.500 0.500 0.747
6 Zn 0.000 0.000 0.000

---

VASP calculation (PBE-GGA) on an optimized crystal structure of HoZnGa3Co.

## Properties
magnetic moment	0.00	μB per formula unit
ΔE_f	-80	meV/atom

abc: 5.787 6.526 6.713
angles: 119.08 90.00 90.00
Fractional positions:
1 Ga 0.500 0.697 0.000
2 Ga 0.000 0.697 0.000
3 Ga 0.750 0.829 0.658
4 Ga 0.000 0.303 0.000
5 Ga 0.500 0.303 0.000
6 Ga 0.250 0.171 0.342
7 Co 0.750 0.629 0.257
8 Co 0.250 0.371 0.743
9 Ho 0.750 0.295 0.590
10 Ho 0.250 0.705 0.410
11 Zn 0.750 0.056 0.113
12 Zn 0.250 0.944 0.887

---

VASP calculation (PBE-GGA) on an optimized crystal structure of HoZn2GaCo2.

## Properties
magnetic moment	1.46	μB per formula unit
ΔE_f	38	meV/atom

abc: 4.372 4.372 5.466
angles: 90.00 90.00 90.00
Fractional positions:
1 Zn 0.500 0.500 0.746
2 Zn 0.500 0.500 0.254
3 Co 0.500 0.000 0.000
4 Co 0.000 0.500 0.000
5 Ga 0.000 0.000 0.000
6 Ho 0.000 0.000 0.500

---

VASP calculation (PBE-GGA) on an optimized crystal structure of Ga3CoI.

## Properties
offset from the most stable computed form	0.000	eV per atom
magnetic moment	0.00	μB per formula unit
ΔE_f (raw)	-0.11	eV/atom

abc: 4.767 4.767 4.767
angles: 90.00 90.00 90.00
Fractional positions:
1 Ga 0.000 0.000 0.500
2 Ga 0.000 0.500 0.000
3 Ga 0.500 0.000 0.000
4 I 0.500 0.500 0.500
5 Co 0.000 0.000 0.000

---

VASP calculation (PBE-GGA) on an optimized crystal structure of GaCoI2.

## Properties
offset from the most stable computed form	0.364	eV per atom
magnetic moment	2.09	μB per formula unit
ΔE_f (raw)	0.49	eV/atom

abc: 5.291 5.291 5.291
angles: 60.00 60.00 60.00
Fractional positions:
1 Ga 0.500 0.500 0.500
2 I 0.250 0.250 0.250
3 I 0.750 0.750 0.750
4 Co 0.000 0.000 0.000

---

VASP calculation (PBE-GGA) on an optimized crystal structure of GaCoI2.

## Properties
offset from the most stable computed form	0.000	eV per atom
magnetic moment	2.00	μB per formula unit
ΔE_f (raw)	0.13	eV/atom

abc: 7.766 7.766 6.823
angles: 55.31 55.31 90.00
Fractional positions:
1 Ga 0.750 0.250 0.500
2 Ga 0.000 0.000 0.000
3 Co 0.250 0.750 0.500
4 Co 0.500 0.500 0.000
5 I 0.375 0.451 0.750
6 I 0.549 0.125 0.250
7 I 0.875 0.799 0.750
8 I 0.201 0.625 0.250

---

VASP calculation (PBE-GGA) on an optimized crystal structure of InGa2CoI.

## Properties
magnetic moment	0.00	μB per formula unit
ΔE_f (raw)	-0.11	eV/atom

abc: 4.742 4.742 5.210
angles: 90.00 90.00 90.00
Fractional positions:
1 In 0.000 0.000 0.500
2 I 0.500 0.500 0.500
3 Ga 0.500 0.000 0.000
4 Ga 0.000 0.500 0.000
5 Co 0.000 0.000 0.000

---

VASP calculation (PBE-GGA) on an optimized crystal structure of La6Ga2CoI3.

## Properties
magnetic moment	0.00	μB per formula unit
ΔE_f (raw)	-0.75	eV/atom

abc: 7.489 7.489 8.284
angles: 99.04 99.04 116.39
Fractional positions:
1 La 0.252 0.252 0.783
2 La 0.360 0.060 0.187
3 La 0.940 0.640 0.813
4 La 0.060 0.360 0.187
5 La 0.748 0.748 0.217
6 La 0.640 0.940 0.813
7 Ga 0.339 0.661 0.000
8 Ga 0.661 0.339 0.000
9 I 0.500 0.500 0.500
10 I 0.823 0.177 0.500
11 I 0.177 0.823 0.500
12 Co 0.000 0.000 0.000